w) Density functional theory data (PBEsol) for crystalline Y2TePb at its relaxed geometry.

The space group is P4/mmm (No. 123) and the conventional cell measures 4.348, 4.348 and 6.124 Å, with angles of 90.00, 90.00 and 90.00 degrees. The distinct sites, in fractional coordinates, are Y at (0.000, 0.000, 0.000), Y at (0.500, 0.500, 0.500), Te at (0.000, 0.000, 0.500) and Pb at (0.500, 0.500, 0.000).



x) Density functional theory data (PBEsol) for crystalline Y2TePb at its relaxed geometry.

The space group is Pmmm (No. 47) and the conventional cell measures 3.627, 5.322 and 5.587 Å, with angles of 90.00, 90.00 and 90.00 degrees. The distinct sites, in fractional coordinates, are Y at (0.000, 0.000, 0.000), Y at (0.000, 0.500, 0.500), Te at (0.500, 0.000, 0.500) and Pb at (0.500, 0.500, 0.000).



y) Density functional theory data (PBEsol) for crystalline Y2TePb at its relaxed geometry.

The space group is C2/m (No. 12) and the conventional cell measures 7.457, 8.055 and 3.715 Å, with angles of 90.00, 102.23 and 90.00 degrees. The distinct sites, in fractional coordinates, are Y at (0.250, 0.250, 0.000), Te at (0.000, 0.000, 0.500) and Pb at (0.000, 0.500, 0.500).



Top of the stability list: w), leading by 0.194 eV/atom.